Compound: Li6CuSn2
Source: Alexandria
Functional: PBE-GGA
Structure: relaxed

DFT total energy: -0.1037 Ha/atom
E_form: -174 kJ/mol of formula units

Cell: 2.8673 7.9925 9.5954 Å, 114.61 124.29 90.00°
Positions (direct):
1 Li 0.1736 0.3246 0.3241
2 Li 0.8264 0.0006 0.6759
3 Li 0.8264 0.6754 0.6759
4 Li 0.5000 0.3258 0.0000
5 Li 0.1736 0.9994 0.3241
6 Li 0.5000 0.6742 0.0000
7 Cu 0.0000 0.0000 0.0000
8 Sn 0.6687 0.6673 0.3346
9 Sn 0.3313 0.3327 0.6654

=====

Compound: Li2Cu3Sn2
Source: Alexandria
Functional: PBE-GGA
Structure: relaxed

DFT total energy: -0.1305 Ha/atom
E_form: -71 kJ/mol of formula units

Cell: 4.4612 4.4782 6.8241 Å, 108.26 90.00 119.87°
Positions (direct):
1 Li 0.9265 0.8530 0.2984
2 Li 0.0735 0.1470 0.7016
3 Cu 0.5000 0.0000 0.0000
4 Cu 0.6276 0.2552 0.4008
5 Cu 0.3724 0.7448 0.5992
6 Sn 0.7753 0.5506 0.8117
7 Sn 0.2247 0.4494 0.1883

=====

no.,Fermi-level density of states (states/eV per atom)
1,0.23
2,0.36